1.
Computed, not measured: crystalline CsPrSO at its relaxed geometry at the PBE level of DFT.

As for the space group: Pca2_1, No. 29. Its energy is -5.670 eV/atom.

Cell: 8.894 9.773 5.832 Å, 90.00 90.00 90.00°
Element x y z (fractional)
O 0.537 0.827 0.062
Pr 0.930 0.363 0.064
O 0.463 0.173 0.562
Cs 0.116 0.100 0.560
Cs 0.884 0.900 0.060
O 0.037 0.173 0.062
S 0.106 0.609 0.064
S 0.394 0.609 0.564
Cs 0.384 0.100 0.060
Pr 0.430 0.637 0.064
S 0.606 0.391 0.064
Cs 0.616 0.900 0.560
O 0.963 0.827 0.562
Pr 0.570 0.363 0.564
Pr 0.070 0.637 0.564
S 0.894 0.391 0.564



2.
Computed, not measured: crystalline CsPrSO at its relaxed geometry at the PBE level of DFT.

As for the space group: P4/nmm, No. 129. Its energy is -5.476 eV/atom.

Cell: 4.507 4.507 9.923 Å, 90.00 90.00 90.00°
Element x y z (fractional)
S 0.750 0.750 0.258
Pr 0.750 0.750 0.910
O 0.750 0.250 0.000
S 0.250 0.250 0.742
Cs 0.750 0.250 0.500
O 0.250 0.750 0.000
Pr 0.250 0.250 0.090
Cs 0.250 0.750 0.500